Compound: Ce2LuPu
Source: the Alexandria database
Functional: PBE
Structure: optimized geometry

abc: 7.690 7.690 7.690
angles: 90.00 90.00 90.00
Space group Fm-3m (No. 225)
Symmetry-distinct sites (fractional):
Ce 0.250 0.250 0.250
Lu 0.000 0.000 0.000
Pu 0.000 0.000 0.500

Energy above the lowest structure with this stoichiometry, kJ per mole of atoms: 7.6
Electronic total energy, eV per atom: -7.50
Size of the total moment, μB/atom: 2.134
ΔE_f, meV per atom: 183
Crystal system: cubic